# LaCu3Si3

A geometry-optimized LaCu3Si3 structure (GGA-PBE, the Alexandria database).

abc: 6.435 6.435 6.435
angles: 90.00 90.00 90.00
Space group Pm-3n (No. 223)
One atom of each set of equivalent atoms:
La 0.000 0.000 0.000 x2
Cu 0.000 0.250 0.500 x6
Si 0.000 0.500 0.250 x6

Computed properties:
The calculation puts the electronic total energy at -33.89 eV per formula unit.

=====

# LaCu2Si

A geometry-optimized LaCu2Si structure (GGA-PBE, the Alexandria database).

abc: 7.117 4.111 5.759
angles: 90.00 114.42 90.00
Space group Cm (No. 8)
One atom of each set of equivalent atoms:
La 0.000 0.000 0.000 x2
Cu 0.007 0.500 0.520 x2
Cu 0.303 0.500 0.408 x2
Si 0.201 0.000 0.604 x2

Computed properties:
The calculation puts the electronic total energy at -20.05 eV per formula unit.

=====

# LaCu2Si

A geometry-optimized LaCu2Si structure (GGA-PBE, the Alexandria database).

abc: 4.314 5.144 6.690
angles: 90.00 90.00 90.00
Space group Immm (No. 71)
One atom of each set of equivalent atoms:
La 0.000 0.000 0.000 x2
Cu 0.000 0.500 0.198 x4
Si 0.000 0.000 0.500 x2

Computed properties:
The calculation puts the electronic total energy at -19.36 eV per formula unit.

=====

# La3Cu2Si2

A geometry-optimized La3Cu2Si2 structure (GGA-PBE, the Alexandria database).

abc: 11.157 4.442 7.070
angles: 90.00 109.70 90.00
Space group C2/m (No. 12)
One atom of each set of equivalent atoms:
La 0.000 0.000 0.000 x2
La 0.180 0.000 0.625 x4
Cu 0.195 0.500 0.923 x4
Si 0.017 0.500 0.337 x4

Computed properties:
The calculation puts the electronic total energy at -37.38 eV per formula unit.

=====

# LaCuSi

A geometry-optimized LaCuSi structure (GGA-PBE, the Alexandria database).

abc: 12.032 3.934 5.595
angles: 90.00 105.47 90.00
Space group Cm (No. 8)
One atom of each set of equivalent atoms:
La 0.000 0.000 0.000 x2
La 0.217 0.000 0.596 x2
Cu 0.006 0.500 0.532 x2
Cu 0.383 0.500 0.446 x2
Si 0.215 0.500 0.077 x2
Si 0.339 0.000 0.159 x2

Computed properties:
The calculation puts the electronic total energy at -15.56 eV per formula unit.

=====

# LaCu2Si

A geometry-optimized LaCu2Si structure (GGA-PBE, the Alexandria database).

abc: 4.411 4.223 4.482
angles: 90.00 102.46 90.00
Space group Pm (No. 6)
One atom of each set of equivalent atoms:
La 0.000 0.000 0.000 x1
Cu 0.478 0.000 0.520 x1
Cu 0.733 0.500 0.414 x1
Si 0.272 0.500 0.595 x1

Computed properties:
The calculation puts the electronic total energy at -19.52 eV per formula unit.

=====

# La8Cu2Si

A geometry-optimized La8Cu2Si structure (GGA-PBE, the Alexandria database).

abc: 8.573 13.726 5.832
angles: 90.00 103.54 90.00
Space group Cm (No. 8)
One atom of each set of equivalent atoms:
La 0.000 0.000 0.000 x2
La 0.024 0.389 0.795 x4
La 0.142 0.132 0.543 x4
La 0.235 0.500 0.392 x2
La 0.336 0.230 0.179 x4
Cu 0.348 0.314 0.700 x4
Si 0.365 0.000 0.293 x2

Computed properties:
The calculation puts the electronic total energy at -54.01 eV per formula unit.

=====

# LaCuSi

A geometry-optimized LaCuSi structure (GGA-PBE, the Alexandria database).

abc: 4.147 8.462 7.351
angles: 90.00 90.00 90.00
Space group Imma (No. 74)
One atom of each set of equivalent atoms:
La 0.000 0.000 0.000 x4
Cu 0.000 0.250 0.343 x4
Si 0.000 0.250 0.667 x4

Computed properties:
The calculation puts the electronic total energy at -15.98 eV per formula unit.